DFT (PBE) results for a relaxed structure of YTcTeN2.

The value obtained for the magnetic moment is 1.466 μB per atom. The energy relative to the elements, uncorrected is 120.6 kJ per mole of atoms. The electronic total energy comes out at -6.074 eV/atom. The density of states at the Fermi level is 2.84 states/eV per cell. The calculation puts the offset from the most stable computed form at 1129.8 meV/atom.

The structure belongs to space group P4/mmm (No. 123); the cell edges are 4.3615, 4.3615 and 6.3659 Å and the angles 90.00°, 90.00° and 90.00°. Symmetry generates all atoms from Y at (0.0000, 0.0000, 0.0000), Tc at (0.5000, 0.5000, 0.5000), Te at (0.0000, 0.0000, 0.5000) and N at (0.0000, 0.5000, 0.0000).

DFT (PBE) results for a relaxed structure of ZnTcTeN2.

The value obtained for the magnetic moment is 0.647 μB per atom. The energy relative to the elements, uncorrected is 183.4 kJ per mole of atoms. The electronic total energy comes out at -4.386 eV/atom. The density of states at the Fermi level is 6.56 states/eV per cell. The calculation puts the offset from the most stable computed form at 1387.6 meV/atom.

The structure belongs to space group P4/mmm (No. 123); the cell edges are 3.8616, 3.8616 and 5.6376 Å and the angles 90.00°, 90.00° and 90.00°. Symmetry generates all atoms from Zn at (0.0000, 0.0000, 0.0000), Tc at (0.5000, 0.5000, 0.5000), Te at (0.0000, 0.0000, 0.5000) and N at (0.0000, 0.5000, 0.0000).

DFT (PBE) results for a relaxed structure of ZnTcTeN2.

The value obtained for the magnetic moment is 0.000 μB per atom. The energy relative to the elements, uncorrected is 49.5 kJ per mole of atoms. The electronic total energy comes out at -5.773 eV/atom. The density of states at the Fermi level is 4.55 states/eV per cell. The calculation puts the offset from the most stable computed form at 0.0 meV/atom.

The structure belongs to space group P4/mmm (No. 123); the cell edges are 3.8602, 3.8602 and 5.8200 Å and the angles 90.00°, 90.00° and 90.00°. Symmetry generates all atoms from Zn at (0.0000, 0.0000, 0.0000), Tc at (0.5000, 0.5000, 0.5000), Te at (0.5000, 0.5000, 0.0000) and N at (0.0000, 0.5000, 0.5000).

DFT (PBE) results for a relaxed structure of ZrTcTe2N.

The value obtained for the magnetic moment is 0.141 μB per atom. The energy relative to the elements, uncorrected is 15.8 kJ per mole of atoms. The electronic total energy comes out at -6.541 eV/atom. The density of states at the Fermi level is 5.72 states/eV per cell. The calculation puts the offset from the most stable computed form at 0.0 meV/atom.

The structure belongs to space group P4/mmm (No. 123); the cell edges are 5.4231, 5.4231 and 3.7140 Å and the angles 90.00°, 90.00° and 90.00°. Symmetry generates all atoms from Zr at (0.0000, 0.0000, 0.0000), Tc at (0.5000, 0.5000, 0.5000), Te at (0.0000, 0.5000, 0.5000) and N at (0.5000, 0.5000, 0.0000).

DFT (PBE) results for a relaxed structure of ZrTcTe2N.

The value obtained for the magnetic moment is 0.737 μB per atom. The energy relative to the elements, uncorrected is 62.4 kJ per mole of atoms. The electronic total energy comes out at -6.057 eV/atom. The density of states at the Fermi level is 3.55 states/eV per cell. The calculation puts the offset from the most stable computed form at 483.6 meV/atom.

The structure belongs to space group P4/mmm (No. 123); the cell edges are 5.7353, 5.7353 and 3.9728 Å and the angles 90.00°, 90.00° and 90.00°. Symmetry generates all atoms from Zr at (0.0000, 0.0000, 0.0000), Tc at (0.5000, 0.5000, 0.5000), Te at (0.0000, 0.5000, 0.0000) and N at (0.0000, 0.0000, 0.5000).

DFT (PBE) results for a relaxed structure of ThTcN2.

The value obtained for the magnetic moment is 0.248 μB per atom. The energy relative to the elements, uncorrected is -69.3 kJ per mole of atoms. The electronic total energy comes out at -9.328 eV/atom. The density of states at the Fermi level is 9.18 states/eV per cell.

The structure belongs to space group R-3m (No. 166, hexagonal axes); the cell edges are 3.5185, 3.5185 and 14.6573 Å and the angles 90.00°, 90.00° and 120.00°. Symmetry generates all atoms from Th at (0.0000, 0.0000, 0.0000), Tc at (0.0000, 0.0000, 0.5000) and N at (0.0000, 0.0000, 0.2362).

> electronic total energy of number 4 (ZrTcTe2N)?

-6.541 eV/atom

> Which value of magnetic moment does entry 1 give?

1.466 μB per atom

> Look up the magnetic moment of the fourth one.

0.141 μB per atom